This record from the Alexandria database describes crystalline Ca2CrOsO6 at its relaxed geometry. The functional is PBE with a Hubbard U.

a b c (Å): 4.9122 5.3853 10.6798
angles (deg): 90.00 113.56 90.00
Last column: nearest neighbours and their distance in Å.
Fractional positions:
Ca1 0.2206 0.0487 0.2394  5 O 2.25-2.49
Ca2 0.2206 0.4513 0.7394  5 O 2.25-2.49
Ca3 0.7794 0.5487 0.2606  5 O 2.25-2.49
Ca4 0.7794 0.9513 0.7606  5 O 2.25-2.49
Cr1 0.0000 0.0000 0.5000  6 O 1.84-2.06
Cr2 0.0000 0.5000 0.0000  6 O 1.84-2.06
Os1 0.5000 0.0000 0.0000  4 O 1.88-1.91
Os2 0.5000 0.5000 0.5000  4 O 1.88-1.91
O1 0.1652 0.2164 0.9217  1 Os 1.91, 1 Cr 2.06
O2 0.1652 0.2836 0.4217  1 Os 1.91, 1 Cr 2.06
O3 0.2431 0.7294 0.9299  1 Os 1.88, 1 Cr 2.06
O4 0.2431 0.7706 0.4299  1 Os 1.88, 1 Cr 2.06
O5 0.2923 0.0438 0.6721  1 Cr 1.84
O6 0.2923 0.4562 0.1721  1 Cr 1.84
O7 0.7077 0.5438 0.8279  1 Cr 1.84
O8 0.7077 0.9562 0.3279  1 Cr 1.84
O9 0.7569 0.2294 0.5701  1 Os 1.88, 1 Cr 2.06
O10 0.7569 0.2706 0.0701  1 Os 1.88, 1 Cr 2.06
O11 0.8348 0.7164 0.5783  1 Os 1.91, 1 Cr 2.06
O12 0.8348 0.7836 0.0783  1 Os 1.91, 1 Cr 2.06

## Properties
total magnetization: 8.0 μB/cell
electronic total energy: -141.8 eV per cell
SG: P2_1/c